Computed, not measured: CsBPd2 after structural relaxation at the GGA-PBEsol level of DFT.

Unit cell a=5.568 b=5.568 c=7.183 alpha=112.81 beta=112.81 gamma=90.00
Fractional coordinates of all 8 atoms:
Cs1 0.000 0.000 0.000
Cs2 0.250 0.750 0.500
B1 0.500 0.500 0.000
B2 0.750 0.250 0.500
Pd1 0.625 0.375 0.750
Pd2 0.125 0.375 0.750
Pd3 0.625 0.875 0.250
Pd4 0.625 0.375 0.250

Output
Fermi-level density of states (states/eV/f.u.): 1.63
Magnetization (μB per formula unit): 0.000
Symmetry: I4_1/amd (141)
Energy of formation from the pure elements (eV/atom): 0.182
Total energy (Ry/atom): -0.3518

---

Computed, not measured: Al5Cu24 after structural relaxation at the GGA-PBEsol level of DFT.

Unit cell a=7.658 b=7.658 c=7.658 alpha=109.47 beta=109.47 gamma=109.47
Fractional coordinates of all 29 atoms:
Al1 0.370 0.370 0.370
Al2 0.000 0.630 0.000
Al3 0.000 0.000 0.630
Al4 0.630 0.000 0.000
Al5 0.000 0.000 0.000
Cu1 0.624 0.815 0.624
Cu2 0.809 0.185 0.809
Cu3 0.191 0.000 0.376
Cu4 0.376 0.000 0.191
Cu5 0.815 0.624 0.624
Cu6 0.185 0.809 0.809
Cu7 0.000 0.376 0.191
Cu8 0.000 0.191 0.376
Cu9 0.624 0.624 0.815
Cu10 0.809 0.809 0.185
Cu11 0.376 0.191 0.000
Cu12 0.191 0.376 0.000
Cu13 0.593 0.276 0.593
Cu14 0.317 0.724 0.317
Cu15 0.683 0.000 0.407
Cu16 0.407 0.000 0.683
Cu17 0.276 0.593 0.593
Cu18 0.724 0.317 0.317
Cu19 0.000 0.407 0.683
Cu20 0.000 0.683 0.407
Cu21 0.593 0.593 0.276
Cu22 0.317 0.317 0.724
Cu23 0.407 0.683 0.000
Cu24 0.683 0.407 0.000

Output
Fermi-level density of states (states/eV/f.u.): 8.80
Magnetization (μB per formula unit): 0.001
Symmetry: I-43m (217)
Energy of formation from the pure elements (eV/atom): -0.065
Total energy (Ry/atom): -0.3203

---

Computed, not measured: MgInHg2 after structural relaxation at the GGA-PBEsol level of DFT.

Unit cell a=3.662 b=4.790 c=6.004 alpha=113.51 beta=107.76 gamma=90.00
Fractional coordinates of all 4 atoms:
Mg1 0.260 0.760 0.521
Hg1 0.991 0.991 0.982
Hg2 0.744 0.244 0.488
In1 0.505 0.505 0.010

Output
Fermi-level density of states (states/eV/f.u.): 1.56
Magnetization (μB per formula unit): 0.000
Symmetry: Imm2 (44)
Energy of formation from the pure elements (eV/atom): -0.117
Total energy (Ry/atom): -0.1158

---

Computed, not measured: HoNi3 after structural relaxation at the GGA-PBEsol level of DFT.

Unit cell a=4.859 b=4.859 c=8.447 alpha=73.28 beta=73.28 gamma=60.00
Fractional coordinates of all 12 atoms:
Ni1 0.583 0.081 0.753
Ni2 0.583 0.583 0.753
Ni3 0.919 0.417 0.247
Ni4 0.417 0.919 0.247
Ni5 0.081 0.583 0.753
Ni6 0.417 0.417 0.247
Ni7 0.667 0.667 0.999
Ni8 0.333 0.333 0.001
Ni9 0.500 0.500 0.500
Ho1 0.861 0.861 0.417
Ho2 0.000 0.000 0.000
Ho3 0.139 0.139 0.583

Output
Fermi-level density of states (states/eV/f.u.): 5.18
Magnetization (μB per formula unit): 0.205
Symmetry: R-3m (166)
Energy of formation from the pure elements (eV/atom): -0.439
Total energy (Ry/atom): -0.4626

---

Computed, not measured: MnCoCu2 after structural relaxation at the GGA-PBEsol level of DFT.

Unit cell a=4.024 b=4.024 c=4.024 alpha=60.00 beta=60.00 gamma=60.00
Fractional coordinates of all 4 atoms:
Mn1 0.000 0.000 0.000
Co1 0.500 0.500 0.500
Cu1 0.250 0.250 0.250
Cu2 0.750 0.750 0.750

Output
Fermi-level density of states (states/eV/f.u.): 3.02
Magnetization (μB per formula unit): 4.831
Symmetry: Fm-3m (225)
Energy of formation from the pure elements (eV/atom): 0.267
Total energy (Ry/atom): -0.4612

---

Computed, not measured: Al2Ag after structural relaxation at the GGA-PBEsol level of DFT.

Unit cell a=3.221 b=7.319 c=7.319 alpha=120.00 beta=90.00 gamma=90.00
Fractional coordinates of all 9 atoms:
Al1 0.000 0.710 0.710
Al2 0.000 0.000 0.290
Al3 0.000 0.290 0.000
Al4 0.500 0.371 0.371
Al5 0.500 0.000 0.629
Al6 0.500 0.629 0.000
Ag1 0.000 0.667 0.333
Ag2 0.000 0.333 0.667
Ag3 0.500 0.000 0.000

Output
Fermi-level density of states (states/eV/f.u.): 0.86
Magnetization (μB per formula unit): 0.000
Symmetry: P-62m (189)
Energy of formation from the pure elements (eV/atom): -0.004
Total energy (Ry/atom): -0.2819

---

Computed, not measured: AgHg3 after structural relaxation at the GGA-PBEsol level of DFT.

Unit cell a=3.283 b=5.162 c=5.206 alpha=99.02 beta=108.38 gamma=90.00
Fractional coordinates of all 4 atoms:
Hg1 0.744 0.240 0.489
Hg2 0.500 0.500 0.000
Hg3 0.256 0.760 0.511
Ag1 0.000 0.000 0.000

Output
Fermi-level density of states (states/eV/f.u.): 1.22
Magnetization (μB per formula unit): 0.000
Symmetry: C2/m (12)
Energy of formation from the pure elements (eV/atom): 0.055
Total energy (Ry/atom): -0.0880

---

Computed, not measured: InSN2F after structural relaxation at the GGA-PBEsol level of DFT.

Unit cell a=4.271 b=4.271 c=5.223 alpha=90.00 beta=90.00 gamma=90.00
Fractional coordinates of all 5 atoms:
N1 0.000 0.500 0.000
N2 0.500 0.000 0.000
S1 0.000 0.000 0.500
F1 0.500 0.500 0.500
In1 0.000 0.000 0.000

Output
Fermi-level density of states (states/eV/f.u.): 2.02
Magnetization (μB per formula unit): 6.022
Symmetry: P4/mmm (123)
ΔE_f (raw) (eV per atom): 1.560
Total energy (Ry/atom): -0.2727